Compound: YMoRu2
Source: Alexandria
Functional: PBE
Structure: relaxed

E_tot: -8.694 eV per atom
energy of formation: 268 meV/atom
excess energy over the best structure of this formula in the dataset: 312.7 meV per atom
density of states at the Fermi level: 5.6 states/eV/cell

```
data_YMoRu2
_symmetry_space_group_name_H-M 'P 4 m m'
_symmetry_Int_Tables_number 99
_cell_length_a 3.275
_cell_length_b 3.275
_cell_length_c 6.729
_cell_angle_alpha 90.00
_cell_angle_beta 90.00
_cell_angle_gamma 90.00
loop_
_symmetry_equiv_pos_as_xyz
'x,y,z'
'-y,x,z'
'-x,-y,z'
'y,-x,z'
'-x,y,z'
'y,x,z'
'x,-y,z'
'-y,-x,z'
loop_
_atom_site_label
_atom_site_type_symbol
_atom_site_fract_x
_atom_site_fract_y
_atom_site_fract_z
Y1 Y 0.000 0.000 0.000
Mo1 Mo 0.500 0.500 0.335
Ru1 Ru 0.000 0.000 0.502
Ru2 Ru 0.500 0.500 0.738
```


Compound: Y2MoRu
Source: Alexandria
Functional: PBE
Structure: relaxed

E_tot: -7.826 eV per atom
energy of formation: 433 meV/atom
excess energy over the best structure of this formula in the dataset: 403.8 meV per atom
density of states at the Fermi level: 10.3 states/eV/cell

```
data_Y2MoRu
_symmetry_space_group_name_H-M 'C 1 2/m 1'
_symmetry_Int_Tables_number 12
_cell_length_a 8.923
_cell_length_b 3.191
_cell_length_c 5.980
_cell_angle_alpha 90.00
_cell_angle_beta 98.60
_cell_angle_gamma 90.00
loop_
_symmetry_equiv_pos_as_xyz
'x,y,z'
'-x,-y,-z'
'-x,y,-z'
'x,-y,z'
'x+1/2,y+1/2,z'
'-x+1/2,-y+1/2,-z'
'-x+1/2,y+1/2,-z'
'x+1/2,-y+1/2,z'
loop_
_atom_site_label
_atom_site_type_symbol
_atom_site_fract_x
_atom_site_fract_y
_atom_site_fract_z
Y1 Y 0.243 0.000 0.242
Mo1 Mo 0.000 0.000 0.500
Ru1 Ru 0.000 0.500 0.000
```


Compound: YMoRu2
Source: Alexandria
Functional: PBE
Structure: relaxed

E_tot: -8.668 eV per atom
energy of formation: 294 meV/atom
excess energy over the best structure of this formula in the dataset: 338.2 meV per atom
density of states at the Fermi level: 11.2 states/eV/cell

```
data_YMoRu2
_symmetry_space_group_name_H-M 'I -4 m 2'
_symmetry_Int_Tables_number 119
_symmetry_space_group_name_Hall 'I -4 -2'
_cell_length_a 3.884
_cell_length_b 3.884
_cell_length_c 9.210
_cell_angle_alpha 90.00
_cell_angle_beta 90.00
_cell_angle_gamma 90.00
loop_
_atom_site_label
_atom_site_type_symbol
_atom_site_fract_x
_atom_site_fract_y
_atom_site_fract_z
Y1 Y 0.000 0.000 0.000
Mo1 Mo 0.000 0.500 0.750
Ru1 Ru 0.000 0.000 0.500
Ru2 Ru 0.000 0.500 0.250
```